Density functional theory data (PBE) for Ac2PtO6 after structural relaxation.

abc: 5.603 6.546 9.319
angles: 90.00 122.43 90.00
Atoms (fractional coordinates):
Ac  0.220  0.096  0.254
Ac  0.220  0.404  0.754
Ac  0.780  0.596  0.246
Ac  0.780  0.904  0.746
Pt  0.500  0.000  0.000
Pt  0.500  0.500  0.500
O  0.154  0.149  0.954
O  0.154  0.351  0.454
O  0.305  0.730  0.942
O  0.305  0.770  0.442
O  0.371  0.042  0.759
O  0.371  0.458  0.259
O  0.629  0.542  0.741
O  0.629  0.958  0.241
O  0.695  0.230  0.558
O  0.695  0.270  0.058
O  0.846  0.649  0.546
O  0.846  0.851  0.046

Output
Calculated total energy (eV per atom): -6.955
M_tot (μB/f.u.): 1.91
ΔE to the lowest computed polymorph (meV per atom): 0
E_form (uncorrected) (eV/atom): -2.065
Space group: P2_1/c
DOS(E_F) (states/eV/f.u.): 6.58

***

Density functional theory data (PBE) for Li2CaCl2 after structural relaxation.

abc: 11.171 11.171 11.171
angles: 158.88 158.88 30.04
Atoms (fractional coordinates):
Li  0.250  0.750  0.500
Li  0.750  0.250  0.500
Ca  0.000  0.000  0.000
Cl  0.304  0.304  0.000
Cl  0.696  0.696  0.000

Output
Calculated total energy (eV per atom): -3.088
M_tot (μB/f.u.): 0.15
E_form (uncorrected) (eV/atom): -1.183
Space group: I4/mmm
DOS(E_F) (states/eV/f.u.): 1.19

***

Density functional theory data (PBE) for Rh2Au2Se after structural relaxation.

abc: 7.475 7.475 7.475
angles: 151.83 151.83 40.26
Atoms (fractional coordinates):
Rh  0.250  0.750  0.500
Rh  0.750  0.250  0.500
Au  0.101  0.101  0.000
Au  0.899  0.899  0.000
Se  0.500  0.500  0.000

Output
Calculated total energy (eV per atom): -4.423
M_tot (μB/f.u.): 1.40
ΔE to the lowest computed polymorph (meV per atom): 367
E_form (uncorrected) (eV/atom): 0.525
Space group: I4/mmm
DOS(E_F) (states/eV/f.u.): 5.59

***

Density functional theory data (PBE) for CsTl3C after structural relaxation.

abc: 5.426 5.426 5.426
angles: 90.00 90.00 90.00
Atoms (fractional coordinates):
Cs  0.000  0.000  0.000
Tl  0.000  0.500  0.500
Tl  0.500  0.000  0.500
Tl  0.500  0.500  0.000
C  0.500  0.500  0.500

Output
Calculated total energy (eV per atom): -2.518
M_tot (μB/f.u.): 0.00
ΔE to the lowest computed polymorph (meV per atom): 0
Space group: Pm-3m
DOS(E_F) (states/eV/f.u.): 4.58

***

Density functional theory data (PBE) for Na3AlTl after structural relaxation.

abc: 5.754 5.754 5.754
angles: 90.00 90.00 90.00
Atoms (fractional coordinates):
Na  0.000  0.000  0.500
Na  0.000  0.500  0.000
Na  0.500  0.000  0.000
Al  0.000  0.000  0.000
Tl  0.500  0.500  0.500

Output
Calculated total energy (eV per atom): -1.656
M_tot (μB/f.u.): 0.00
ΔE to the lowest computed polymorph (meV per atom): 0
Space group: Pm-3m
DOS(E_F) (states/eV/f.u.): 3.70

***

Density functional theory data (PBE) for MgBeCd after structural relaxation.

abc: 4.383 4.383 3.130
angles: 90.00 90.00 120.00
Atoms (fractional coordinates):
Mg  0.000  0.000  0.000
Be  0.333  0.667  0.502
Cd  0.667  0.333  0.500

Output
Calculated total energy (eV per atom): -1.836
M_tot (μB/f.u.): 0.00
ΔE to the lowest computed polymorph (meV per atom): 91
Space group: P3m1
DOS(E_F) (states/eV/f.u.): 1.60